1.
The following is a DFT calculation (PBE-GGA) of Sr6Bi2PO after structural relaxation.

a b c (Å): 5.612 5.612 10.818
angles (deg): 90.00 90.00 90.00
Fractional positions:
Sr1 0.500 0.000 0.000
Sr2 0.000 0.500 0.500
Sr3 0.000 0.500 0.000
Sr4 0.500 0.000 0.500
Sr5 0.500 0.500 0.730
Sr6 0.500 0.500 0.270
P1 0.500 0.500 0.000
Bi1 0.000 0.000 0.268
Bi2 0.000 0.000 0.732
O1 0.500 0.500 0.500

Summary:
Energy = -3.995 eV/atom
Space group = P4/mmm
Uncorrected formation energy = -113.2 kJ per mole of atoms

2.
The following is a DFT calculation (PBE-GGA) of SrBiPO2 after structural relaxation.

a b c (Å): 4.421 4.421 5.996
angles (deg): 90.00 90.00 90.00
Each line ends with the local moment (μB).
Fractional positions:
Sr1 0.000 0.000 0.000  0.09
Bi1 0.500 0.500 0.500  -0.11
P1 0.000 0.000 0.500  0.22
O1 0.500 0.000 0.000  0.66
O2 0.000 0.500 0.000  0.66

Summary:
Energy = -4.276 eV/atom
Space group = P4/mmm
Uncorrected formation energy = -9.4 kJ per mole of atoms

3.
The following is a DFT calculation (PBE-GGA) of SrBiPO2 after structural relaxation.

a b c (Å): 4.404 4.404 5.268
angles (deg): 90.00 90.00 90.00
Each line ends with the local moment (μB).
Fractional positions:
Bi1 0.000 0.000 0.000  0.00
O1 0.000 0.500 0.000  0.03
O2 0.500 0.000 0.000  0.03
Sr1 0.500 0.500 0.500  0.01
P1 0.000 0.000 0.500  0.08

Summary:
Energy = -4.995 eV/atom
Space group = P4/mmm
Uncorrected formation energy = -78.8 kJ per mole of atoms

4.
The following is a DFT calculation (PBE-GGA) of SrBi6P4O20 after structural relaxation.

a b c (Å): 7.053 7.746 9.274
angles (deg): 107.00 93.28 112.06
Fractional positions:
O1 0.680 0.593 0.097
O2 0.552 0.526 0.362
O3 0.852 0.002 0.172
O4 0.789 0.323 0.242
O5 0.129 0.765 0.279
O6 0.648 0.181 0.917
O7 0.320 0.407 0.903
O8 0.121 0.325 0.155
O9 0.871 0.235 0.721
O10 0.515 0.872 0.356
O11 0.352 0.819 0.083
O12 0.620 0.883 0.691
O13 0.051 0.293 0.417
O14 0.949 0.707 0.583
O15 0.448 0.474 0.638
O16 0.380 0.117 0.309
O17 0.485 0.128 0.644
O18 0.148 0.998 0.828
O19 0.211 0.677 0.758
O20 0.879 0.675 0.845
P1 0.346 0.896 0.256
P2 0.954 0.232 0.244
P3 0.654 0.104 0.744
P4 0.046 0.768 0.756
Bi1 0.562 0.706 0.912
Bi2 0.438 0.294 0.088
Bi3 0.195 0.197 0.675
Bi4 0.669 0.373 0.490
Bi5 0.331 0.627 0.510
Bi6 0.805 0.803 0.325
Sr1 0.000 0.500 0.000

Summary:
Energy = -6.655 eV/atom
Space group = P-1
Uncorrected formation energy = -188.4 kJ per mole of atoms

5.
The following is a DFT calculation (PBE-GGA) of TaBiP2O after structural relaxation.

a b c (Å): 5.032 5.032 3.872
angles (deg): 90.00 90.00 90.00
Fractional positions:
P1 0.000 0.500 0.000
P2 0.500 0.000 0.000
O1 0.000 0.000 0.500
Bi1 0.500 0.500 0.500
Ta1 0.000 0.000 0.000

Summary:
Energy = -6.907 eV/atom
Space group = P4/mmm
Uncorrected formation energy = -58.3 kJ per mole of atoms

6.
The following is a DFT calculation (PBE-GGA) of TaBiP2O after structural relaxation.

a b c (Å): 5.119 5.119 4.039
angles (deg): 90.00 90.00 90.00
Fractional positions:
Ta1 0.500 0.500 0.500
P1 0.500 0.000 0.000
P2 0.000 0.500 0.000
Bi1 0.000 0.000 0.000
O1 0.000 0.000 0.500

Summary:
Energy = -5.175 eV/atom
Space group = P4/mmm
Uncorrected formation energy = 108.8 kJ per mole of atoms

7.
The following is a DFT calculation (PBE-GGA) of TcBiP2O after structural relaxation.

a b c (Å): 5.216 5.216 4.106
angles (deg): 90.00 90.00 90.00
Each line ends with the local moment (μB).
Fractional positions:
Tc1 0.500 0.500 0.500  3.53
P1 0.000 0.500 0.000  -0.15
P2 0.500 0.000 0.000  -0.15
O1 0.000 0.000 0.500  0.04
Bi1 0.000 0.000 0.000  0.02

Summary:
Energy = -4.806 eV/atom
Space group = P4/mmm
Uncorrected formation energy = 115.7 kJ per mole of atoms

8.
The following is a DFT calculation (PBE-GGA) of TcBiPO2 after structural relaxation.

a b c (Å): 4.128 4.128 5.573
angles (deg): 90.00 90.00 90.00
Each line ends with the local moment (μB).
Fractional positions:
Bi1 0.000 0.000 0.000  0.04
Tc1 0.500 0.500 0.500  3.64
O1 0.000 0.500 0.000  0.09
O2 0.500 0.000 0.000  0.09
P1 0.000 0.000 0.500  -0.04

Summary:
Energy = -5.438 eV/atom
Space group = P4/mmm
Uncorrected formation energy = 46.0 kJ per mole of atoms

9.
The following is a DFT calculation (PBE-GGA) of TcBiPO2 after structural relaxation.

a b c (Å): 3.906 3.906 5.225
angles (deg): 90.00 90.00 90.00
Each line ends with the local moment (μB).
Fractional positions:
O1 0.500 0.000 0.000  0.01
O2 0.000 0.500 0.000  0.01
P1 0.000 0.000 0.500  -0.01
Tc1 0.000 0.000 0.000  0.05
Bi1 0.500 0.500 0.500  0.18

Summary:
Energy = -6.421 eV/atom
Space group = P4/mmm
Uncorrected formation energy = -48.9 kJ per mole of atoms

10.
The following is a DFT calculation (PBE-GGA) of TcBiP2O after structural relaxation.

a b c (Å): 4.910 4.910 3.737
angles (deg): 90.00 90.00 90.00
Fractional positions:
Bi1 0.500 0.500 0.500
Tc1 0.000 0.000 0.000
O1 0.000 0.000 0.500
P1 0.500 0.000 0.000
P2 0.000 0.500 0.000

Summary:
Energy = -6.151 eV/atom
Space group = P4/mmm
Uncorrected formation energy = -14.1 kJ per mole of atoms

11.
The following is a DFT calculation (PBE-GGA) of BiTeP2O after structural relaxation.

a b c (Å): 5.185 5.185 3.996
angles (deg): 90.00 90.00 90.00
Fractional positions:
P1 0.500 0.000 0.000
P2 0.000 0.500 0.000
Bi1 0.500 0.500 0.500
O1 0.000 0.000 0.500
Te1 0.000 0.000 0.000

Summary:
Energy = -4.259 eV/atom
Space group = P4/mmm
Uncorrected formation energy = 29.0 kJ per mole of atoms

12.
The following is a DFT calculation (PBE-GGA) of BiTeP2O after structural relaxation.

a b c (Å): 5.321 5.321 4.165
angles (deg): 90.00 90.00 90.00
Each line ends with the local moment (μB).
Fractional positions:
P1 0.000 0.500 0.000  0.12
P2 0.500 0.000 0.000  0.12
Te1 0.500 0.500 0.500  -0.02
O1 0.000 0.000 0.500  0.04
Bi1 0.000 0.000 0.000  0.01

Summary:
Energy = -3.942 eV/atom
Space group = P4/mmm
Uncorrected formation energy = 59.6 kJ per mole of atoms

13.
The following is a DFT calculation (PBE-GGA) of TiBiP2O after structural relaxation.

a b c (Å): 5.167 5.167 4.114
angles (deg): 90.00 90.00 90.00
Each line ends with the local moment (μB).
Fractional positions:
Bi1 0.000 0.000 0.000  0.01
O1 0.000 0.000 0.500  -0.01
Ti1 0.500 0.500 0.500  0.05
P1 0.000 0.500 0.000  -0.02
P2 0.500 0.000 0.000  -0.02

Summary:
Energy = -4.807 eV/atom
Space group = P4/mmm
Uncorrected formation energy = 67.9 kJ per mole of atoms

14.
The following is a DFT calculation (PBE-GGA) of TiBiP2O after structural relaxation.

a b c (Å): 5.022 5.022 3.724
angles (deg): 90.00 90.00 90.00
Fractional positions:
Bi1 0.500 0.500 0.500
Ti1 0.000 0.000 0.000
O1 0.000 0.000 0.500
P1 0.500 0.000 0.000
P2 0.000 0.500 0.000

Summary:
Energy = -6.141 eV/atom
Space group = P4/mmm
Uncorrected formation energy = -60.8 kJ per mole of atoms

15.
The following is a DFT calculation (PBE-GGA) of TiBiP3O12 after structural relaxation.

a b c (Å): 9.407 9.407 9.407
angles (deg): 53.59 53.59 53.59
Fractional positions:
O1 0.645 0.709 0.035
O2 0.709 0.035 0.645
O3 0.535 0.209 0.145
O4 0.035 0.645 0.709
O5 0.814 0.539 0.459
O6 0.358 0.247 0.990
O7 0.990 0.358 0.247
O8 0.314 0.959 0.039
O9 0.747 0.858 0.490
O10 0.226 0.369 0.616
O11 0.369 0.616 0.226
O12 0.247 0.990 0.358
O13 0.869 0.726 0.116
O14 0.539 0.459 0.814
O15 0.726 0.116 0.869
O16 0.959 0.039 0.314
O17 0.209 0.145 0.535
O18 0.858 0.490 0.747
O19 0.145 0.535 0.209
O20 0.459 0.814 0.539
O21 0.039 0.314 0.959
O22 0.116 0.869 0.726
O23 0.616 0.226 0.369
O24 0.490 0.747 0.858
Ti1 0.650 0.650 0.650
Ti2 0.150 0.150 0.150
Bi1 0.847 0.847 0.847
Bi2 0.347 0.347 0.347
P1 0.032 0.454 0.760
P2 0.954 0.532 0.260
P3 0.454 0.760 0.032
P4 0.260 0.954 0.532
P5 0.532 0.260 0.954
P6 0.760 0.032 0.454

Summary:
Energy = -7.192 eV/atom
Space group = R3c
Uncorrected formation energy = -197.3 kJ per mole of atoms

16.
The following is a DFT calculation (PBE-GGA) of Tl3BiP2O8 after structural relaxation.

a b c (Å): 5.760 5.760 8.507
angles (deg): 90.00 90.00 120.00
Fractional positions:
Tl1 0.333 0.667 0.781
Tl2 0.000 0.000 0.000
Tl3 0.667 0.333 0.219
O1 0.815 0.630 0.672
O2 0.815 0.185 0.672
O3 0.630 0.815 0.328
O4 0.333 0.667 0.087
O5 0.370 0.185 0.672
O6 0.667 0.333 0.913
O7 0.185 0.370 0.328
O8 0.185 0.815 0.328
Bi1 0.000 0.000 0.500
P1 0.667 0.333 0.732
P2 0.333 0.667 0.268

Summary:
Energy = -6.054 eV/atom
Space group = P-3m1
Uncorrected formation energy = -160.5 kJ per mole of atoms

17.
The following is a DFT calculation (PBE-GGA) of TlBiP2O after structural relaxation.

a b c (Å): 5.399 5.399 4.249
angles (deg): 90.00 90.00 90.00
Each line ends with the local moment (μB).
Fractional positions:
P1 0.500 0.000 0.000  0.22
P2 0.000 0.500 0.000  0.22
O1 0.000 0.000 0.500  0.06
Tl1 0.500 0.500 0.500  0.02
Bi1 0.000 0.000 0.000  -0.02

Summary:
Energy = -3.885 eV/atom
Space group = P4/mmm
Uncorrected formation energy = 50.2 kJ per mole of atoms

18.
The following is a DFT calculation (PBE-GGA) of TlBiP2O after structural relaxation.

a b c (Å): 5.188 5.188 4.165
angles (deg): 90.00 90.00 90.00
Fractional positions:
O1 0.000 0.000 0.500
P1 0.500 0.000 0.000
P2 0.000 0.500 0.000
Tl1 0.000 0.000 0.000
Bi1 0.500 0.500 0.500

Summary:
Energy = -3.703 eV/atom
Space group = P4/mmm
Uncorrected formation energy = 67.7 kJ per mole of atoms

19.
The following is a DFT calculation (PBE-GGA) of UBiP2O8 after structural relaxation.

a b c (Å): 5.395 5.395 7.313
angles (deg): 90.00 90.00 120.00
Each line ends with the local moment (μB).
Fractional positions:
P1 0.333 0.667 0.707  0.00
P2 0.667 0.333 0.293  0.00
Bi1 0.000 0.000 0.500  0.45
O1 0.823 0.645 0.213  -0.01
O2 0.177 0.823 0.787  -0.01
O3 0.177 0.355 0.787  -0.01
O4 0.333 0.667 0.500  0.01
O5 0.645 0.823 0.787  -0.01
O6 0.667 0.333 0.500  0.01
O7 0.823 0.177 0.213  -0.01
O8 0.355 0.177 0.213  -0.01
U1 0.000 0.000 0.000  2.30

Summary:
Energy = -7.605 eV/atom
Space group = P-3m1
Uncorrected formation energy = -205.8 kJ per mole of atoms